The following is a PBE calculation of a relaxed ZnCu6Pd crystal, from Alexandria.

Calculated values
Crystal system ... trigonal
ΔE to the lowest computed polymorph ... 369 meV/atom
Calculated density ... 6.8 g/cm³
Size of the total moment ... 0.00 μB per formula unit

Cell: 4.8702 4.8702 7.1149 Å, 69.99 69.99 60.00°
With the nearest neighbours (Å) after each atom.
Atoms (fractional coordinates):
Zn (0.0000, 0.0000, 0.0000)  6 Cu 2.49
Cu (0.0622, 0.0622, 0.3137)  5 Cu 2.43-2.44, 1 Zn 2.49, 2 Pd 2.72
Cu (0.0622, 0.5618, 0.3137)  5 Cu 2.43-2.44, 1 Zn 2.49, 2 Pd 2.72
Cu (0.4382, 0.9378, 0.6863)  5 Cu 2.43-2.44, 1 Zn 2.49, 2 Pd 2.72
Cu (0.9378, 0.4382, 0.6863)  5 Cu 2.43-2.44, 1 Zn 2.49, 2 Pd 2.72
Cu (0.9378, 0.9378, 0.6863)  5 Cu 2.43-2.44, 1 Zn 2.49, 2 Pd 2.72
Cu (0.5618, 0.0622, 0.3137)  5 Cu 2.43-2.44, 1 Zn 2.49, 2 Pd 2.72
Pd (0.5000, 0.5000, 0.5000)  12 Cu 2.72

***

The following is a PBE calculation of a relaxed ZnCu3Pd crystal, from Alexandria.

Calculated values
Crystal system ... cubic
ΔE to the lowest computed polymorph ... 833 meV/atom
Calculated density ... 7.2 g/cm³
Size of the total moment ... 0.00 μB per formula unit

Cell: 4.3805 4.3805 4.3805 Å, 90.00 90.00 90.00°
With the nearest neighbours (Å) after each atom.
Atoms (fractional coordinates):
Zn (0.0000, 0.0000, 0.0000)  6 Cu 2.19
Cu (0.0000, 0.5000, 0.0000)  2 Zn 2.19
Cu (0.0000, 0.0000, 0.5000)  2 Zn 2.19
Cu (0.5000, 0.0000, 0.0000)  2 Zn 2.19
Pd (0.5000, 0.5000, 0.5000)  12 Cu 3.10

***

The following is a PBE calculation of a relaxed Zn3Cu6Pd crystal, from Alexandria.

Calculated values
Crystal system ... orthorhombic
Calculated density ... 8.4 g/cm³
Size of the total moment ... 0.00 μB per formula unit
Raw total energy ... -66.99 eV/cell

Cell: 4.7396 7.9358 7.9358 Å, 114.51 90.00 90.00°
With the nearest neighbours (Å) after each atom.
Atoms (fractional coordinates):
Zn (0.4837, 0.9052, 0.7056)  6 Cu 2.46-2.56, 1 Pd 2.56, 1 Zn 2.69
Zn (0.9837, 0.7056, 0.9052)  6 Cu 2.46-2.56, 1 Pd 2.56, 1 Zn 2.69
Zn (0.0971, 0.3797, 0.6203)  7 Cu 2.57-2.79, 1 Pd 2.67, 2 Zn 2.69
Zn (0.5971, 0.6203, 0.3797)  7 Cu 2.57-2.79, 1 Pd 2.67, 2 Zn 2.69
Zn (0.9837, 0.0948, 0.2944)  6 Cu 2.46-2.56, 1 Pd 2.56, 1 Zn 2.69
Zn (0.4837, 0.2944, 0.0948)  6 Cu 2.46-2.56, 1 Pd 2.56, 1 Zn 2.69
Cu (0.0448, 0.7012, 0.5938)  4 Zn 2.47-2.66, 5 Cu 2.51-2.77
Cu (0.5448, 0.5938, 0.7012)  4 Zn 2.47-2.66, 5 Cu 2.51-2.77
Cu (0.3650, 0.5262, 0.9643)  2 Zn 2.46-2.52, 5 Cu 2.48-2.55, 2 Pd 2.60-2.71
Cu (0.8650, 0.9643, 0.5262)  2 Zn 2.46-2.52, 5 Cu 2.48-2.55, 2 Pd 2.60-2.71
Cu (0.3193, 0.9730, 0.0270)  2 Cu 2.48, 4 Zn 2.50, 1 Pd 2.55
Cu (0.6408, 0.2759, 0.7241)  6 Cu 2.48-2.64, 1 Zn 2.57, 2 Pd 2.69
Cu (0.1408, 0.7241, 0.2759)  6 Cu 2.48-2.64, 1 Zn 2.57, 2 Pd 2.69
Cu (0.8193, 0.0270, 0.9730)  2 Cu 2.48, 4 Zn 2.50, 1 Pd 2.55
Cu (0.3650, 0.0357, 0.4738)  2 Zn 2.46-2.52, 5 Cu 2.48-2.55, 2 Pd 2.60-2.71
Cu (0.8650, 0.4738, 0.0357)  2 Zn 2.46-2.52, 5 Cu 2.48-2.55, 2 Pd 2.60-2.71
Cu (0.0448, 0.4062, 0.2988)  4 Zn 2.47-2.66, 5 Cu 2.51-2.77
Cu (0.5448, 0.2988, 0.4062)  4 Zn 2.47-2.66, 5 Cu 2.51-2.77
Pd (0.1413, 0.1803, 0.8197)  7 Cu 2.55-2.71, 3 Zn 2.56-2.67
Pd (0.6413, 0.8197, 0.1803)  7 Cu 2.55-2.71, 3 Zn 2.56-2.67

***

The following is a PBE calculation of a relaxed ZnCu6Pd12 crystal, from Alexandria.

Calculated values
Crystal system ... trigonal
ΔE to the lowest computed polymorph ... 0 meV/atom
Calculated density ... 10.5 g/cm³
Size of the total moment ... 0.00 μB per formula unit

Cell: 6.6888 7.2192 7.2192 Å, 69.09 72.01 107.99°
With the nearest neighbours (Å) after each atom.
Atoms (fractional coordinates):
Zn (0.0000, 0.0000, 0.0000)  12 Pd 2.75
Cu (0.4216, 0.4726, 0.2119)  9 Pd 2.69-2.76, 3 Cu 2.72-2.74
Cu (0.0510, 0.6845, 0.5274)  9 Pd 2.69-2.76, 3 Cu 2.72-2.74
Cu (0.3665, 0.7881, 0.6845)  9 Pd 2.69-2.76, 3 Cu 2.72-2.74
Cu (0.5784, 0.5274, 0.7881)  9 Pd 2.69-2.76, 3 Cu 2.72-2.74
Cu (0.9490, 0.3155, 0.4726)  9 Pd 2.69-2.76, 3 Cu 2.72-2.74
Cu (0.6335, 0.2119, 0.3155)  9 Pd 2.69-2.76, 3 Cu 2.72-2.74
Pd (0.5240, 0.8438, 0.2684)  4 Cu 2.69-2.76, 7 Pd 2.70-2.78, 1 Zn 2.75
Pd (0.6802, 0.8877, 0.8438)  4 Cu 2.69-2.76, 7 Pd 2.70-2.78, 1 Zn 2.75
Pd (0.7925, 0.2684, 0.8877)  4 Cu 2.69-2.76, 7 Pd 2.70-2.78, 1 Zn 2.75
Pd (0.4760, 0.1562, 0.7316)  4 Cu 2.69-2.76, 7 Pd 2.70-2.78, 1 Zn 2.75
Pd (0.3198, 0.1123, 0.1562)  4 Cu 2.69-2.76, 7 Pd 2.70-2.78, 1 Zn 2.75
Pd (0.2075, 0.7316, 0.1123)  4 Cu 2.69-2.76, 7 Pd 2.70-2.78, 1 Zn 2.75
Pd (0.2619, 0.4243, 0.6288)  6 Pd 2.70-2.77, 5 Cu 2.71-2.74, 1 Zn 2.75
Pd (0.1094, 0.3712, 0.0531)  6 Pd 2.70-2.77, 5 Cu 2.71-2.74, 1 Zn 2.75
Pd (0.1624, 0.0531, 0.5757)  6 Pd 2.70-2.77, 5 Cu 2.71-2.74, 1 Zn 2.75
Pd (0.7381, 0.5757, 0.3712)  6 Pd 2.70-2.77, 5 Cu 2.71-2.74, 1 Zn 2.75
Pd (0.8906, 0.6288, 0.9469)  6 Pd 2.70-2.77, 5 Cu 2.71-2.74, 1 Zn 2.75
Pd (0.8376, 0.9469, 0.4243)  6 Pd 2.70-2.77, 5 Cu 2.71-2.74, 1 Zn 2.75

***

The following is a PBE calculation of a relaxed Zn7Cu4Pd crystal, from Alexandria.

Calculated values
Crystal system ... monoclinic
Calculated density ... 7.7 g/cm³
Size of the total moment ... 0.00 μB per formula unit
Raw total energy ... -30.32 eV/cell

Cell: 4.6117 7.3079 6.3999 Å, 63.02 68.88 71.61°
With the nearest neighbours (Å) after each atom.
Atoms (fractional coordinates):
Zn (0.8235, 0.8535, 0.4994)  5 Zn 2.63-2.79, 3 Cu 2.73-2.75, 1 Pd 2.76
Zn (0.1765, 0.1465, 0.5006)  5 Zn 2.63-2.79, 3 Cu 2.73-2.75, 1 Pd 2.76
Zn (0.0803, 0.5796, 0.2598)  5 Cu 2.53-2.75, 4 Zn 2.65-2.79, 1 Pd 2.73
Zn (0.9197, 0.4204, 0.7402)  5 Cu 2.53-2.75, 4 Zn 2.65-2.79, 1 Pd 2.73
Zn (0.2403, 0.7453, 0.7741)  4 Cu 2.45-2.61, 1 Pd 2.60, 2 Zn 2.63-2.68
Zn (0.5000, 0.0000, 0.0000)  2 Pd 2.31, 4 Cu 2.49
Zn (0.7597, 0.2547, 0.2259)  4 Cu 2.45-2.61, 1 Pd 2.60, 2 Zn 2.63-2.68
Cu (0.5414, 0.3082, 0.6089)  4 Zn 2.45-2.65, 2 Cu 2.47-2.54
Cu (0.4586, 0.6918, 0.3911)  4 Zn 2.45-2.65, 2 Cu 2.47-2.54
Cu (0.6829, 0.6434, 0.9908)  8 Zn 2.49-2.75, 1 Cu 2.54
Cu (0.3171, 0.3566, 0.0092)  8 Zn 2.49-2.75, 1 Cu 2.54
Pd (0.0000, 0.0000, 0.0000)  2 Zn 2.31

***

The following is a PBE calculation of a relaxed Zn8CuPd2 crystal, from Alexandria.

Calculated values
Crystal system ... monoclinic
ΔE to the lowest computed polymorph ... 110 meV/atom
Calculated density ... 8.0 g/cm³
Size of the total moment ... 0.00 μB per formula unit

Cell: 4.6896 6.7873 7.0781 Å, 61.35 74.95 57.20°
With the nearest neighbours (Å) after each atom.
Atoms (fractional coordinates):
Zn (0.8193, 0.1043, 0.2365)  4 Zn 2.52-2.77, 2 Pd 2.63-2.64
Zn (0.8193, 0.3409, 0.7635)  4 Zn 2.52-2.77, 2 Pd 2.63-2.64
Zn (0.2993, 0.4190, 0.0000)  6 Zn 2.40-2.64, 1 Cu 2.46
Zn (0.5000, 0.7975, 0.4050)  1 Cu 2.52, 2 Pd 2.66, 2 Zn 2.77
Zn (0.5000, 0.2025, 0.5950)  1 Cu 2.52, 2 Pd 2.66, 2 Zn 2.77
Zn (0.7007, 0.5810, 0.0000)  6 Zn 2.40-2.64, 1 Cu 2.46
Zn (0.1807, 0.6591, 0.2365)  4 Zn 2.52-2.77, 2 Pd 2.63-2.64
Zn (0.1807, 0.8957, 0.7635)  4 Zn 2.52-2.77, 2 Pd 2.63-2.64
Cu (0.5000, 0.0000, 0.0000)  4 Zn 2.46-2.52
Pd (0.0000, 0.3044, 0.3911)  10 Zn 2.63-2.90
Pd (0.0000, 0.6956, 0.6089)  10 Zn 2.63-2.90